Record 1
The following is a DFT calculation (PBE) of Th6AsSe5 after structural relaxation.

Output
V in Å³ per cell: 317.4
E in eV per atom: -7.08

Unit cell a=7.2892 b=7.3078 c=7.3013 alpha=59.97 beta=80.39 gamma=70.52
Positions (direct):
Th 0.7519 0.7512 0.0000
Se 0.0000 0.6670 0.6660
As 0.0000 0.0000 0.0000
Se 0.0000 0.3330 0.3340
Th 0.2490 0.9169 0.6689
Th 0.7510 0.4143 0.6689
Th 0.7510 0.0831 0.3311
Th 0.2490 0.5857 0.3311
Se 0.5000 0.1661 0.6678
Se 0.5000 0.5000 0.0000
Th 0.2481 0.2488 0.0000
Se 0.5000 0.8339 0.3322

Record 2
The following is a DFT calculation (PBE) of TmThAsSe after structural relaxation.

Output
V in Å³ per cell: 100.4
E in eV per atom: -6.55

Unit cell a=4.1128 b=4.1128 c=7.2542 alpha=73.53 beta=73.53 gamma=60.00
Positions (direct):
Tm 0.5035 0.5035 0.4894
Se 0.7556 0.7556 0.7331
Th 0.9966 0.9966 0.0102
As 0.2442 0.2442 0.2673

Record 3
The following is a DFT calculation (PBE) of YThAsSe after structural relaxation.

Output
V in Å³ per cell: 102.8
E in eV per atom: -7.09

Unit cell a=4.1629 b=4.1629 c=7.2608 alpha=73.34 beta=73.34 gamma=60.00
Positions (direct):
Y 0.7464 0.7464 0.7607
As 0.0037 0.0037 0.9890
Th 0.2534 0.2534 0.2399
Se 0.4965 0.4965 0.5104

Record 4
The following is a DFT calculation (PBE) of TiAs3Se after structural relaxation.

Output
V in Å³ per cell: 118.4
Excess energy over the best structure of this formula in the dataset in eV/atom: 0.5815

Unit cell a=4.9107 b=4.9107 c=4.9107 alpha=90.00 beta=90.00 gamma=90.00
Positions (direct):
Ti 0.5000 0.5000 0.5000
As 0.0000 0.0000 0.5000
As 0.5000 0.0000 0.0000
Se 0.0000 0.0000 0.0000
As 0.0000 0.5000 0.0000

Record 5
The following is a DFT calculation (PBE) of Ti2AsSe after structural relaxation.

Output
V in Å³ per cell: 90.2
Excess energy over the best structure of this formula in the dataset in eV/atom: 0.4769

Unit cell a=3.6991 b=3.6991 c=7.6121 alpha=90.00 beta=90.00 gamma=120.00
Last column: magnetic moment on the atom in μB.
Positions (direct):
Se 0.0000 0.0000 0.0241  -0.01
Ti 0.6667 0.3333 0.8486  0.21
Ti 0.0000 0.0000 0.3542  0.20
As 0.6667 0.3333 0.5231  -0.02

Record 6
The following is a DFT calculation (PBE) of Ti2AsSe after structural relaxation.

Output
V in Å³ per cell: 65.5
Excess energy over the best structure of this formula in the dataset in eV/atom: 0.2041

Unit cell a=4.5246 b=4.5246 c=4.5246 alpha=60.00 beta=60.00 gamma=60.00
Positions (direct):
As 0.0000 0.0000 0.0000
Ti 0.2500 0.2500 0.2500
Se 0.5000 0.5000 0.5000
Ti 0.7500 0.7500 0.7500

Record 7
The following is a DFT calculation (PBE) of Ti2As2Se after structural relaxation.

Output
V in Å³ per cell: 173.5
E in eV per atom: -6.44

Unit cell a=7.0898 b=7.0898 c=3.4523 alpha=90.00 beta=90.00 gamma=90.00
Positions (direct):
Ti 0.3437 0.8437 0.0000
Ti 0.6563 0.1563 0.0000
Ti 0.8437 0.6563 0.0000
Ti 0.1563 0.3437 0.0000
As 0.3638 0.1362 0.5000
As 0.1362 0.6362 0.5000
As 0.8638 0.3638 0.5000
Se 0.5000 0.5000 0.0000
Se 0.0000 0.0000 0.0000
As 0.6362 0.8638 0.5000

Record 8
The following is a DFT calculation (PBE) of TiAs3Se after structural relaxation.

Output
V in Å³ per cell: 116.3
Excess energy over the best structure of this formula in the dataset in eV/atom: 0.0000

Unit cell a=4.8818 b=4.8818 c=4.8818 alpha=90.00 beta=90.00 gamma=90.00
Positions (direct):
Ti 0.0000 0.0000 0.0000
As 0.5000 0.0000 0.0000
As 0.0000 0.0000 0.5000
As 0.0000 0.5000 0.0000
Se 0.5000 0.5000 0.5000